! PBE BaHf3Rh, relaxed; values from VASP
! calculated total energy	-5.56	eV/atom
! total moment	0.000	μB/f.u.
! ΔE_f	11.33	eV/f.u.
! DOS(E_F)	10.118	states/eV per cell
&SYSTEM
  ibrav = 0, nat = 5, ntyp = 3
/
ATOMIC_SPECIES
Rh 102.91 Rh.upf
Ba 137.33 Ba.upf
Hf 178.49 Hf.upf
CELL_PARAMETERS angstrom
5.163 0.000 0.000
0.000 5.163 0.000
0.000 0.000 5.163
ATOMIC_POSITIONS angstrom
Rh 2.582 2.582 2.582
Ba 0.000 0.000 0.000
Hf 0.000 0.000 2.582
Hf 0.000 2.582 0.000
Hf 2.582 0.000 0.000